The following is a PBE with a Hubbard U calculation of an optimized crystal structure of SmCr2IO8, from Alexandria.

Cell lengths 4.7338, 6.6008, 4.7345 Å; angles 90.00, 90.95, 90.00 degrees
Space group P2/m (No. 10)
Unique sites:
Sm: 0.0000 0.0000 0.0000
Cr: 0.5000 0.2472 0.5000
I: 0.0000 0.5000 0.0000
O: 0.1964 0.2888 0.1928
O: 0.2861 0.5000 0.7103
O: 0.3267 0.0000 0.6688

As for the total magnetization: 0.501 μB/atom. The density of states at the Fermi level is 2.092 states/eV/f.u. The volume is 12.33 Å³ per atom. For the total energy, the calculation gives -79.021 eV per formula unit.